1.
The following is a DFT calculation (GGA-PBE) of a relaxed structure of TaIr2Rh.

Cell lengths 3.9396, 3.9396, 7.8069 Å; angles 90.00, 90.00, 90.00 degrees
Space group I4/mmm (No. 139)
Unique sites:
Ta  0.0000  0.0000  0.0000 (multiplicity 2)
Ir  0.0000  0.5000  0.2500 (multiplicity 4)
Rh  0.0000  0.0000  0.5000 (multiplicity 2)

Results
offset from the most stable computed form = 138.8 meV/atom
DFT total energy = -9.754 eV per atom
calculated formation energy = -522.9 meV per atom


2.
The following is a DFT calculation (GGA-PBE) of a relaxed structure of TaIr2Rh.

Cell lengths 2.7970, 2.7970, 27.1276 Å; angles 90.00, 90.00, 120.00 degrees
Space group R-3m (No. 166, hexagonal axes)
Unique sites:
Ta  0.0000  0.0000  0.0000 (multiplicity 3)
Ir  0.0000  0.0000  0.2487 (multiplicity 6)
Rh  0.0000  0.0000  0.5000 (multiplicity 3)

Results
offset from the most stable computed form = 535.2 meV/atom
DFT total energy = -9.358 eV per atom
calculated formation energy = -126.5 meV per atom


3.
The following is a DFT calculation (GGA-PBE) of a relaxed structure of TaIrRh.

Cell lengths 6.0311, 6.0311, 6.0311 Å; angles 90.00, 90.00, 90.00 degrees
Space group F-43m (No. 216)
Unique sites:
Ta  0.0000  0.0000  0.0000 (multiplicity 4)
Ir  0.0000  0.0000  0.5000 (multiplicity 4)
Rh  0.2500  0.2500  0.7500 (multiplicity 4)

Results
offset from the most stable computed form = 779.6 meV/atom
DFT total energy = -9.119 eV per atom
calculated formation energy = 236.5 meV per atom


4.
The following is a DFT calculation (GGA-PBE) of a relaxed structure of TaIrRh2.

Cell lengths 3.8990, 3.8990, 3.9266 Å; angles 90.00, 90.00, 90.00 degrees
Space group P4/mmm (No. 123)
Unique sites:
Ta  0.0000  0.0000  0.0000 (multiplicity 1)
Ir  0.5000  0.5000  0.0000 (multiplicity 1)
Rh  0.0000  0.5000  0.5000 (multiplicity 2)

Results
offset from the most stable computed form = 0.0 meV/atom
DFT total energy = -9.490 eV per atom
calculated formation energy = -635.5 meV per atom


5.
The following is a DFT calculation (GGA-PBE) of a relaxed structure of TaIrRh.

Cell lengths 2.8262, 3.8644, 8.5314 Å; angles 90.00, 90.00, 90.00 degrees
Space group Imm2 (No. 44)
Unique sites:
Ta  0.0000  0.0000  0.0000 (multiplicity 2)
Ir  0.0000  0.0000  0.3362 (multiplicity 2)
Rh  0.0000  0.0000  0.6684 (multiplicity 2)

Results
offset from the most stable computed form = 102.5 meV/atom
DFT total energy = -9.796 eV per atom
calculated formation energy = -440.6 meV per atom


6.
The following is a DFT calculation (GGA-PBE) of a relaxed structure of TaIrRh2.

Cell lengths 6.2702, 6.2702, 6.2702 Å; angles 90.00, 90.00, 90.00 degrees
Space group F-43m (No. 216)
Unique sites:
Ta  0.0000  0.0000  0.0000 (multiplicity 4)
Ir  0.2500  0.2500  0.7500 (multiplicity 4)
Rh  0.0000  0.0000  0.5000 (multiplicity 4)
Rh  0.2500  0.2500  0.2500 (multiplicity 4)

Results
offset from the most stable computed form = 463.1 meV/atom
DFT total energy = -9.027 eV per atom
calculated formation energy = -172.5 meV per atom


7.
The following is a DFT calculation (GGA-PBE) of a relaxed structure of Ta2IrRh.

Cell lengths 6.3618, 6.3618, 6.3618 Å; angles 90.00, 90.00, 90.00 degrees
Space group F-43m (No. 216)
Unique sites:
Ta  0.0000  0.0000  0.0000 (multiplicity 4)
Ta  0.2500  0.2500  0.2500 (multiplicity 4)
Ir  0.2500  0.2500  0.7500 (multiplicity 4)
Rh  0.0000  0.0000  0.5000 (multiplicity 4)

Results
DFT total energy = -10.241 eV per atom
calculated formation energy = -261.7 meV per atom


8.
The following is a DFT calculation (GGA-PBE) of a relaxed structure of TaIrRh2.

Cell lengths 3.9325, 3.9325, 7.7780 Å; angles 90.00, 90.00, 90.00 degrees
Space group I-4m2 (No. 119)
Unique sites:
Ta  0.0000  0.0000  0.0000 (multiplicity 2)
Ir  0.0000  0.5000  0.2500 (multiplicity 2)
Rh  0.0000  0.0000  0.5000 (multiplicity 2)
Rh  0.0000  0.5000  0.7500 (multiplicity 2)

Results
offset from the most stable computed form = 130.7 meV/atom
DFT total energy = -9.359 eV per atom
calculated formation energy = -504.9 meV per atom


9.
The following is a DFT calculation (GGA-PBE) of a relaxed structure of TaIr2Rh.

Cell lengths 9.2166, 2.8069, 4.7954 Å; angles 90.00, 100.46, 90.00 degrees
Space group Cm (No. 8)
Unique sites:
Ta  0.0000  0.0000  0.0000 (multiplicity 2)
Ir  0.2498  0.5000  0.2650 (multiplicity 2)
Ir  0.4971  0.0000  0.4972 (multiplicity 2)
Rh  0.2498  0.0000  0.7512 (multiplicity 2)

Results
offset from the most stable computed form = 322.7 meV/atom
DFT total energy = -9.570 eV per atom
calculated formation energy = -339.0 meV per atom


10.
The following is a DFT calculation (GGA-PBE) of a relaxed structure of TaIrRh2.

Cell lengths 9.2106, 2.8107, 4.7623 Å; angles 90.00, 100.61, 90.00 degrees
Space group Cm (No. 8)
Unique sites:
Ta  0.0000  0.0000  0.0000 (multiplicity 2)
Ir  0.2525  0.0000  0.7437 (multiplicity 2)
Rh  0.0023  0.5000  0.5009 (multiplicity 2)
Rh  0.2480  0.5000  0.2497 (multiplicity 2)

Results
offset from the most stable computed form = 298.7 meV/atom
DFT total energy = -9.191 eV per atom
calculated formation energy = -336.9 meV per atom


11.
The following is a DFT calculation (GGA-PBE) of a relaxed structure of TaIr8Rh2.

Cell lengths 14.0231, 3.8920, 6.1581 Å; angles 90.00, 105.23, 90.00 degrees
Space group C2/m (No. 12)
Unique sites:
Ta  0.0000  0.0000  0.0000 (multiplicity 2)
Ir  0.0445  0.5000  0.7267 (multiplicity 4)
Ir  0.0916  0.0000  0.4507 (multiplicity 4)
Ir  0.1353  0.5000  0.1816 (multiplicity 4)
Ir  0.1828  0.0000  0.9124 (multiplicity 4)
Rh  0.2245  0.5000  0.6353 (multiplicity 4)

Results
DFT total energy = -9.064 eV per atom
calculated formation energy = -206.0 meV per atom


12.
The following is a DFT calculation (GGA-PBE) of a relaxed structure of TaIrRh2.

Cell lengths 3.9075, 3.9075, 7.8732 Å; angles 90.00, 90.00, 90.00 degrees
Space group I4/mmm (No. 139)
Unique sites:
Ta  0.0000  0.0000  0.0000 (multiplicity 2)
Ir  0.0000  0.0000  0.5000 (multiplicity 2)
Rh  0.0000  0.5000  0.2500 (multiplicity 4)

Results
offset from the most stable computed form = 138.2 meV/atom
DFT total energy = -9.351 eV per atom
calculated formation energy = -497.3 meV per atom


13.
The following is a DFT calculation (GGA-PBE) of a relaxed structure of Ta2Ir2Rh.

Cell lengths 7.4441, 7.4441, 3.0042 Å; angles 90.00, 90.00, 90.00 degrees
Space group P4/mbm (No. 127)
Unique sites:
Ta  0.1679  0.3321  0.0000 (multiplicity 4)
Ir  0.1327  0.6327  0.5000 (multiplicity 4)
Rh  0.0000  0.0000  0.5000 (multiplicity 2)

Results
DFT total energy = -10.187 eV per atom
calculated formation energy = -431.4 meV per atom


14.
The following is a DFT calculation (GGA-PBE) of a relaxed structure of Ta2IrRh.

Cell lengths 3.1276, 3.5217, 5.9901 Å; angles 90.00, 90.00, 90.00 degrees
Space group Pmm2 (No. 25)
Unique sites:
Ta  0.0000  0.0000  0.0000 (multiplicity 1)
Ta  0.5000  0.5000  0.3016 (multiplicity 1)
Ir  0.0000  0.0000  0.5098 (multiplicity 1)
Rh  0.5000  0.5000  0.7963 (multiplicity 1)

Results
DFT total energy = -10.386 eV per atom
calculated formation energy = -406.1 meV per atom


15.
The following is a DFT calculation (GGA-PBE) of a relaxed structure of TaIrRh2.

Cell lengths 2.8297, 4.4366, 4.7981 Å; angles 90.00, 90.00, 90.00 degrees
Space group Pmm2 (No. 25)
Unique sites:
Ta  0.0000  0.0000  0.0000 (multiplicity 1)
Ir  0.0000  0.5000  0.6654 (multiplicity 1)
Rh  0.5000  0.0000  0.5130 (multiplicity 1)
Rh  0.5000  0.5000  0.1757 (multiplicity 1)

Results
offset from the most stable computed form = 218.7 meV/atom
DFT total energy = -9.271 eV per atom
calculated formation energy = -416.9 meV per atom


16.
The following is a DFT calculation (GGA-PBE) of a relaxed structure of Ta2IrRh.

Cell lengths 2.8737, 2.8737, 27.1918 Å; angles 90.00, 90.00, 120.00 degrees
Space group R-3m (No. 166, hexagonal axes)
Unique sites:
Ta  0.0000  0.0000  0.2501 (multiplicity 6)
Ir  0.0000  0.0000  0.0000 (multiplicity 3)
Rh  0.0000  0.0000  0.5000 (multiplicity 3)

Results
DFT total energy = -10.212 eV per atom
calculated formation energy = -233.0 meV per atom


17.
The following is a DFT calculation (GGA-PBE) of a relaxed structure of Ta2IrRh.

Cell lengths 5.8757, 5.8757, 11.0471 Å; angles 90.00, 90.00, 90.00 degrees
Space group I-42d (No. 122)
Unique sites:
Ta  0.2481  0.2500  0.1250 (multiplicity 8)
Ir  0.0000  0.0000  0.5000 (multiplicity 4)
Rh  0.0000  0.0000  0.0000 (multiplicity 4)

Results
DFT total energy = -9.386 eV per atom
calculated formation energy = 593.6 meV per atom


18.
The following is a DFT calculation (GGA-PBE) of a relaxed structure of TaIr2Rh.

Cell lengths 4.7685, 2.8176, 4.7781 Å; angles 90.00, 109.20, 90.00 degrees
Space group P2/m (No. 10)
Unique sites:
Ta  0.0000  0.0000  0.0000 (multiplicity 1)
Ir  0.0000  0.5000  0.5000 (multiplicity 1)
Ir  0.5000  0.0000  0.5000 (multiplicity 1)
Rh  0.5000  0.5000  0.0000 (multiplicity 1)

Results
offset from the most stable computed form = 251.7 meV/atom
DFT total energy = -9.641 eV per atom
calculated formation energy = -409.9 meV per atom


19.
The following is a DFT calculation (GGA-PBE) of a relaxed structure of TaIrRh2.

Cell lengths 2.7873, 2.7873, 27.1201 Å; angles 90.00, 90.00, 120.00 degrees
Space group R-3m (No. 166, hexagonal axes)
Unique sites:
Ta  0.0000  0.0000  0.0000 (multiplicity 3)
Ir  0.0000  0.0000  0.5000 (multiplicity 3)
Rh  0.0000  0.0000  0.2486 (multiplicity 6)

Results
offset from the most stable computed form = 531.6 meV/atom
DFT total energy = -8.958 eV per atom
calculated formation energy = -103.9 meV per atom


20.
The following is a DFT calculation (GGA-PBE) of a relaxed structure of TaIrRh.

Cell lengths 3.1163, 3.1163, 21.0725 Å; angles 90.00, 90.00, 90.00 degrees
Space group I4/mmm (No. 139)
Unique sites:
Ta  0.0000  0.0000  0.1300 (multiplicity 4)
Ir  0.0000  0.0000  0.2981 (multiplicity 4)
Rh  0.0000  0.0000  0.4399 (multiplicity 4)

Results
offset from the most stable computed form = 284.5 meV/atom
DFT total energy = -9.614 eV per atom
calculated formation energy = -258.6 meV per atom


21.
The following is a DFT calculation (GGA-PBE) of a relaxed structure of TaIrRh2.

Cell lengths 5.4997, 7.7814, 2.8132 Å; angles 90.00, 90.00, 90.00 degrees
Space group Cmmm (No. 65)
Unique sites:
Ta  0.0000  0.0000  0.0000 (multiplicity 2)
Ir  0.0000  0.5000  0.0000 (multiplicity 2)
Rh  0.2500  0.2500  0.5000 (multiplicity 4)

Results
offset from the most stable computed form = 248.7 meV/atom
DFT total energy = -9.241 eV per atom
calculated formation energy = -386.9 meV per atom


22.
The following is a DFT calculation (GGA-PBE) of a relaxed structure of Ta4Ir3Rh.

Cell lengths 3.8827, 4.0735, 8.1375 Å; angles 90.00, 90.00, 90.00 degrees
Space group Pmmm (No. 47)
Unique sites:
Ta  0.0000  0.0000  0.0000 (multiplicity 1)
Ta  0.0000  0.0000  0.5000 (multiplicity 1)
Ta  0.0000  0.5000  0.2491 (multiplicity 2)
Ir  0.5000  0.0000  0.2510 (multiplicity 2)
Ir  0.5000  0.5000  0.0000 (multiplicity 1)
Rh  0.5000  0.5000  0.5000 (multiplicity 1)

Results
DFT total energy = -10.734 eV per atom
calculated formation energy = -565.6 meV per atom


23.
The following is a DFT calculation (GGA-PBE) of a relaxed structure of TaIr2Rh.

Cell lengths 2.7860, 2.7860, 7.8572 Å; angles 90.00, 90.00, 90.00 degrees
Space group P4/mmm (No. 123)
Unique sites:
Ta  0.0000  0.0000  0.0000 (multiplicity 1)
Ir  0.5000  0.5000  0.2551 (multiplicity 2)
Rh  0.0000  0.0000  0.5000 (multiplicity 1)

Results
offset from the most stable computed form = 378.4 meV/atom
DFT total energy = -9.515 eV per atom
calculated formation energy = -283.3 meV per atom


24.
The following is a DFT calculation (GGA-PBE) of a relaxed structure of TaIrRh4.

Cell lengths 7.1572, 7.1572, 7.1572 Å; angles 90.00, 90.00, 90.00 degrees
Space group F-43m (No. 216)
Unique sites:
Ta  0.0000  0.0000  0.0000 (multiplicity 4)
Ir  0.2500  0.2500  0.7500 (multiplicity 4)
Rh  0.1242  0.1242  0.3758 (multiplicity 16)

Results
offset from the most stable computed form = 250.6 meV/atom
DFT total energy = -8.305 eV per atom
calculated formation energy = 48.7 meV per atom


25.
The following is a DFT calculation (GGA-PBE) of a relaxed structure of Ta4IrRh5.

Cell lengths 4.8013, 5.5761, 6.3873 Å; angles 76.29, 74.15, 75.35 degrees
Space group P-1 (No. 2)
Unique sites:
Ta  0.1264  0.3797  0.3068 (multiplicity 2)
Ta  0.3045  0.1867  0.8777 (multiplicity 2)
Ir  0.5000  0.5000  0.5000 (multiplicity 1)
Rh  0.1076  0.9003  0.2929 (multiplicity 2)
Rh  0.2854  0.6898  0.9040 (multiplicity 2)
Rh  0.5000  0.0000  0.5000 (multiplicity 1)

Results
DFT total energy = -9.848 eV per atom
calculated formation energy = -545.1 meV per atom


26.
The following is a DFT calculation (GGA-PBE) of a relaxed structure of Ta2IrRh.

Cell lengths 4.0677, 4.0677, 3.8776 Å; angles 90.00, 90.00, 90.00 degrees
Space group P4/mmm (No. 123)
Unique sites:
Ta  0.0000  0.5000  0.0000 (multiplicity 2)
Ir  0.0000  0.0000  0.5000 (multiplicity 1)
Rh  0.5000  0.5000  0.5000 (multiplicity 1)

Results
DFT total energy = -10.523 eV per atom
calculated formation energy = -543.6 meV per atom


27.
The following is a DFT calculation (GGA-PBE) of a relaxed structure of Ta2IrRh.

Cell lengths 9.2375, 2.8683, 4.9773 Å; angles 90.00, 100.18, 90.00 degrees
Space group C2/m (No. 12)
Unique sites:
Ta  0.2504  0.0000  0.2493 (multiplicity 4)
Ir  0.0000  0.5000  0.0000 (multiplicity 2)
Rh  0.0000  0.0000  0.5000 (multiplicity 2)

Results
DFT total energy = -10.221 eV per atom
calculated formation energy = -241.7 meV per atom


28.
The following is a DFT calculation (GGA-PBE) of a relaxed structure of TaIrRh.

Cell lengths 4.4271, 4.4271, 5.4931 Å; angles 90.00, 90.00, 120.00 degrees
Space group P6_3/mmc (No. 194)
Unique sites:
Ta  0.3333  0.6667  0.2500 (multiplicity 2)
Ir  0.0000  0.0000  0.0000 (multiplicity 2)
Rh  0.3333  0.6667  0.7500 (multiplicity 2)

Results
offset from the most stable computed form = 0.0 meV/atom
DFT total energy = -9.898 eV per atom
calculated formation energy = -543.1 meV per atom


29.
The following is a DFT calculation (GGA-PBE) of a relaxed structure of Ta2IrRh.

Cell lengths 2.8816, 3.8576, 5.7767 Å; angles 90.00, 90.73, 90.00 degrees
Space group P2/m (No. 10)
Unique sites:
Ta  0.0011  0.0000  0.2512 (multiplicity 2)
Ir  0.5000  0.5000  0.5000 (multiplicity 1)
Rh  0.5000  0.5000  0.0000 (multiplicity 1)

Results
DFT total energy = -10.522 eV per atom
calculated formation energy = -543.0 meV per atom